1.
Entry from Alexandria: a relaxed structure of CaLaTcP2 (GGA-PBE).

abc: 5.2402 5.2402 5.9469
angles: 90.00 90.00 90.00
Positions (direct):
1 Ca 0.0000 0.0000 0.0000
2 La 0.0000 0.0000 0.5000
3 Tc 0.5000 0.5000 0.0000
4 P 0.0000 0.5000 0.5000
5 P 0.5000 0.0000 0.5000

Results
Crystal system: tetragonal
Volume in Å³ per cell: 163.30

***

2.
Entry from Alexandria: a relaxed structure of Ca2LaTcP (GGA-PBE).

abc: 5.3057 5.3057 5.7076
angles: 90.00 90.00 90.00
Positions (direct):
1 Ca 0.0000 0.5000 0.0000
2 Ca 0.5000 0.0000 0.0000
3 La 0.0000 0.0000 0.5000
4 Tc 0.5000 0.5000 0.5000
5 P 0.0000 0.0000 0.0000

Results
Crystal system: tetragonal
Volume in Å³ per cell: 160.67

***

Number 1: magnetization 0.8 μB per formula unit, Fermi-level density of states 9.925 states/eV per cell, formation energy from the elements 1674 meV per atom. Number 2: magnetization 1.8 μB per formula unit, Fermi-level density of states 8.334 states/eV per cell, formation energy from the elements 213 meV per atom.